Arrangement i

DFT (PBE-GGA) results for an optimized crystal structure of Ac3MgPt.

Magnetic moment   0.00 μB/atom
Space group   Pm-3m

Cell lengths 5.9314, 5.9314, 5.9314 Å; angles 90.00, 90.00, 90.00 degrees
Fractional positions:
Ac 0.0000 0.5000 0.0000
Ac 0.0000 0.0000 0.5000
Ac 0.5000 0.0000 0.0000
Mg 0.5000 0.5000 0.5000
Pt 0.0000 0.0000 0.0000

Arrangement ii

DFT (PBE-GGA) results for an optimized crystal structure of Ac3MgPt.

Magnetic moment   0.00 μB/atom
Space group   P2_1/c

Cell lengths 7.5140, 11.0449, 10.0253 Å; angles 114.41, 90.00, 90.00 degrees
Fractional positions:
Ac 0.0755 0.6401 0.9056
Ac 0.9245 0.3599 0.0944
Ac 0.5755 0.8599 0.0944
Ac 0.4245 0.1401 0.9056
Ac 0.5738 0.4363 0.7821
Ac 0.4262 0.5637 0.2179
Ac 0.0738 0.0637 0.2179
Ac 0.9262 0.9363 0.7821
Ac 0.0681 0.2468 0.6366
Ac 0.9319 0.7532 0.3634
Ac 0.5681 0.2532 0.3634
Ac 0.4319 0.7468 0.6366
Mg 0.8221 0.5526 0.5500
Mg 0.1779 0.4474 0.4500
Mg 0.3221 0.9474 0.4500
Mg 0.6779 0.0526 0.5500
Pt 0.2439 0.3973 0.9287
Pt 0.7561 0.6027 0.0713
Pt 0.7439 0.1027 0.0713
Pt 0.2561 0.8973 0.9287

So which one wins? Going from most stable to least: arrangement ii, arrangement i.